# 1
# Ba3NaN GGA-PBEsol relaxed
# - DOS(E_F) (states/eV/cell) = 7.5
# - E_form (uncorrected) (kJ per mole of atoms) = -31
# - V (A^3/atom) = 41.78
data_Ba3NaN
_symmetry_space_group_name_H-M 'P 1'
_symmetry_Int_Tables_number 1
_cell_length_a 6.877
_cell_length_b 8.376
_cell_length_c 8.376
_cell_angle_alpha 120.00
_cell_angle_beta 90.00
_cell_angle_gamma 90.00
loop_
_symmetry_equiv_pos_as_xyz
'x,y,z'
loop_
_atom_site_label
_atom_site_type_symbol
_atom_site_fract_x
_atom_site_fract_y
_atom_site_fract_z
Ba1 Ba 0.750 0.711 0.856
Ba2 Ba 0.250 0.289 0.144
Ba3 Ba 0.750 0.144 0.289
Ba4 Ba 0.250 0.856 0.711
Ba5 Ba 0.250 0.856 0.144
Ba6 Ba 0.750 0.144 0.856
Na1 Na 0.250 0.333 0.667
Na2 Na 0.750 0.667 0.333
N1 N 0.000 0.000 0.000
N2 N 0.500 0.000 0.000

# 2
# MgTlIn2 GGA-PBEsol relaxed
# - DOS(E_F) (states/eV/cell) = 1.6
# - E_form (eV/atom) = -0.0412
# - V (A^3/atom) = 24.67
data_MgTlIn2
_symmetry_space_group_name_H-M 'P 1'
_symmetry_Int_Tables_number 1
_cell_length_a 4.509
_cell_length_b 4.509
_cell_length_c 5.807
_cell_angle_alpha 112.85
_cell_angle_beta 112.85
_cell_angle_gamma 90.00
loop_
_symmetry_equiv_pos_as_xyz
'x,y,z'
loop_
_atom_site_label
_atom_site_type_symbol
_atom_site_fract_x
_atom_site_fract_y
_atom_site_fract_z
Mg1 Mg 0.500 0.500 0.000
In1 In 0.750 0.250 0.500
In2 In 0.250 0.750 0.500
Tl1 Tl 0.000 0.000 0.000

# 3
# BaTaNO2 GGA-PBEsol relaxed
# - E_form (uncorrected) (kJ per mole of atoms) = -229
# - V (A^3/atom) = 13.73
data_BaTaNO2
_symmetry_space_group_name_H-M 'P 1'
_symmetry_Int_Tables_number 1
_cell_length_a 4.089
_cell_length_b 4.089
_cell_length_c 4.107
_cell_angle_alpha 90.00
_cell_angle_beta 90.00
_cell_angle_gamma 90.00
loop_
_symmetry_equiv_pos_as_xyz
'x,y,z'
loop_
_atom_site_label
_atom_site_type_symbol
_atom_site_fract_x
_atom_site_fract_y
_atom_site_fract_z
O1 O 0.500 0.000 0.000
O2 O 0.000 0.500 0.000
Ta1 Ta 0.000 0.000 0.000
Ba1 Ba 0.500 0.500 0.500
N1 N 0.000 0.000 0.500

# 4
# Ca3Zn GGA-PBEsol relaxed
# - DOS(E_F) (states/eV/cell) = 9.1
# - relative energy among the computed polymorphs (eV/atom) = 0.053
# - E_form (eV/atom) = -0.0575
# - V (A^3/atom) = 33.32
data_Ca3Zn
_symmetry_space_group_name_H-M 'P 1'
_symmetry_Int_Tables_number 1
_cell_length_a 4.342
_cell_length_b 7.970
_cell_length_c 7.970
_cell_angle_alpha 104.87
_cell_angle_beta 90.00
_cell_angle_gamma 90.00
loop_
_symmetry_equiv_pos_as_xyz
'x,y,z'
loop_
_atom_site_label
_atom_site_type_symbol
_atom_site_fract_x
_atom_site_fract_y
_atom_site_fract_z
Ca1 Ca 0.750 0.886 0.114
Ca2 Ca 0.750 0.436 0.178
Ca3 Ca 0.250 0.564 0.822
Ca4 Ca 0.750 0.822 0.564
Ca5 Ca 0.250 0.178 0.436
Ca6 Ca 0.250 0.114 0.886
Zn1 Zn 0.250 0.724 0.276
Zn2 Zn 0.750 0.276 0.724

# 5
# ZnCu2Ni GGA-PBEsol relaxed
# - DOS(E_F) (states/eV/cell) = 1.6
# - E_form (eV/atom) = -0.0515
# - V (A^3/atom) = 11.49
data_ZnCu2Ni
_symmetry_space_group_name_H-M 'P 1'
_symmetry_Int_Tables_number 1
_cell_length_a 2.506
_cell_length_b 4.400
_cell_length_c 4.844
_cell_angle_alpha 115.66
_cell_angle_beta 102.79
_cell_angle_gamma 94.70
loop_
_symmetry_equiv_pos_as_xyz
'x,y,z'
loop_
_atom_site_label
_atom_site_type_symbol
_atom_site_fract_x
_atom_site_fract_y
_atom_site_fract_z
Cu1 Cu 0.500 0.500 0.500
Cu2 Cu 0.000 0.000 0.500
Zn1 Zn 0.500 0.000 0.000
Ni1 Ni 0.000 0.500 0.000

# 6
# ScNiTeI2 GGA-PBEsol relaxed
# - DOS(E_F) (states/eV/cell) = 4.3
# - E_form (uncorrected) (kJ per mole of atoms) = -3
# - V (A^3/atom) = 26.35
data_ScNiTeI2
_symmetry_space_group_name_H-M 'P 1'
_symmetry_Int_Tables_number 1
_cell_length_a 5.026
_cell_length_b 5.026
_cell_length_c 5.214
_cell_angle_alpha 90.00
_cell_angle_beta 90.00
_cell_angle_gamma 90.00
loop_
_symmetry_equiv_pos_as_xyz
'x,y,z'
loop_
_atom_site_label
_atom_site_type_symbol
_atom_site_fract_x
_atom_site_fract_y
_atom_site_fract_z
I1 I 0.000 0.500 0.000
I2 I 0.500 0.000 0.000
Sc1 Sc 0.500 0.500 0.500
Te1 Te 0.000 0.000 0.500
Ni1 Ni 0.000 0.000 0.000